Entry 1:
Here is a geometry-optimized MnRe structure from Alexandria via LeMat-Bulk. Energies are from PBE.

a b c (Å): 7.9668 7.9668 3.5167
angles (deg): 90.00 90.00 90.00
Closest atoms and distances in Å follow each position.
Space group I4/mmm (No. 139)
Unique sites:
Mn: 0.0000 0.3544 0.0000  5 Mn 2.32-2.40
Re: 0.1652 0.1652 0.5000  4 Re 2.60-2.63, 6 Mn 2.66-2.67

Properties
Its spin magnetization is 0.00 μB/cell. As for the calculated formation energy: 0.35 eV/atom.



Entry 2:
Here is a geometry-optimized Hf8ZnRh2 structure from Alexandria via LeMat-Bulk. Energies are from PBE.

a b c (Å): 7.7034 12.8053 5.1065
angles (deg): 90.00 113.01 90.00
Closest atoms and distances in Å follow each position.
Space group C2/m (No. 12)
Unique sites:
Hf: 0.0000 0.2291 0.0000  2 Rh 2.67, 1 Zn 2.93
Hf: 0.1063 0.5000 0.8189  1 Zn 2.80, 4 Hf 2.91-3.13, 2 Rh 3.08
Hf: 0.2173 0.1158 0.5689  2 Rh 2.63-2.73
Zn: 0.0000 0.0000 0.0000  8 Hf 2.80-3.10
Rh: 0.0000 0.2900 0.5000  6 Hf 2.63-2.73

Properties
Its spin magnetization is 0.00 μB/cell. As for the calculated formation energy: -0.16 eV/atom.



Q: What is the formula in the second record?
A: Hf8ZnRh2